! K2Mn2NbO6 (GGA+U, relaxed); values from VASP
! magnetization: 2.96 μB/f.u.
! space group: No. 12
! calculated total energy: -6.766 eV per atom
&SYSTEM
  ibrav = 0, nat = 11, ntyp = 4
/
ATOMIC_SPECIES
O 16.00 O.upf
K 39.10 K.upf
Mn 54.94 Mn.upf
Nb 92.91 Nb.upf
CELL_PARAMETERS angstrom
-1.7737 -1.5544 4.7091
5.1597 -0.0611 -1.0547
-0.7141 6.4631 0.8154
ATOMIC_POSITIONS angstrom
O 0.7210 1.6550 1.2960
O 1.4565 4.2155 0.3734
O 1.9509 3.1925 3.1739
O 1.2154 0.6321 4.0964
O 3.5797 1.1413 2.1310
O -0.9078 3.7063 2.3389
K -0.6075 -1.3032 3.7397
K 3.9935 -0.3123 -0.0852
Mn 0.2046 2.1801 3.1754
Mn 2.4673 2.6674 1.2944
Nb -0.3570 3.2316 0.4077